Entry 1:
The following is a DFT calculation (PBE) of a geometry-optimized Cd3GaIr structure.

Summary:
- ΔE to the lowest computed polymorph (eV per atom) = 0.685
- DFT formation energy (eV/atom) = 1.036
- Fermi-level density of states (states/eV/f.u.) = 4.43

a = 4.9342 Å, b = 4.9342 Å, c = 4.9342 Å
α = 90.00°, β = 90.00°, γ = 90.00°
Last column: nearest neighbours and their distance in Å.
Fractional positions:
Cd: 0.0000 0.0000 0.5000  2 Ga 2.47
Cd: 0.0000 0.5000 0.0000  2 Ga 2.47
Cd: 0.5000 0.0000 0.0000  2 Ga 2.47
Ga: 0.0000 0.0000 0.0000  6 Cd 2.47
Ir: 0.5000 0.5000 0.5000  12 Cd 3.49

***

Entry 2:
The following is a DFT calculation (PBE) of a geometry-optimized Cd2Ga2Ir structure.

Summary:
- ΔE to the lowest computed polymorph (eV per atom) = 0.418
- DFT formation energy (eV/atom) = 0.485
- Fermi-level density of states (states/eV/f.u.) = 2.83

a = 7.8949 Å, b = 7.8949 Å, c = 7.8949 Å
α = 153.07°, β = 153.07°, γ = 38.46°
Last column: nearest neighbours and their distance in Å.
Fractional positions:
Cd: 0.2500 0.7500 0.5000  4 Cd 2.60
Cd: 0.7500 0.2500 0.5000  4 Cd 2.60
Ga: 0.0827 0.0827 0.0000  1 Ga 2.47
Ga: 0.9173 0.9173 0.0000  1 Ga 2.47
Ir: 0.5000 0.5000 0.0000  8 Ga 2.88

***

Entry 3:
The following is a DFT calculation (PBE) of a geometry-optimized Cd3GaIr structure.

Summary:
- ΔE to the lowest computed polymorph (eV per atom) = 0.000
- DFT formation energy (eV/atom) = 0.351
- Fermi-level density of states (states/eV/f.u.) = 1.84

a = 5.2044 Å, b = 5.2044 Å, c = 5.2044 Å
α = 90.00°, β = 90.00°, γ = 90.00°
Last column: nearest neighbours and their distance in Å.
Fractional positions:
Cd: 0.0000 0.0000 0.5000  2 Ir 2.60
Cd: 0.0000 0.5000 0.0000  2 Ir 2.60
Cd: 0.5000 0.0000 0.0000  2 Ir 2.60
Ga: 0.5000 0.5000 0.5000  12 Cd 3.68
Ir: 0.0000 0.0000 0.0000  6 Cd 2.60

***

Entry 4:
The following is a DFT calculation (PBE) of a geometry-optimized CdGaIr2 structure.

Summary:
- DFT formation energy (eV/atom) = -0.120
- Fermi-level density of states (states/eV/f.u.) = 1.75

a = 3.0682 Å, b = 3.0682 Å, c = 6.6599 Å
α = 90.00°, β = 90.00°, γ = 90.00°
Last column: nearest neighbours and their distance in Å.
Fractional positions:
Cd: 0.0000 0.0000 0.0000  8 Ir 2.87, 4 Cd 3.07
Ga: 0.0000 0.0000 0.5000  8 Ir 2.61
Ir: 0.5000 0.5000 0.2820  4 Ga 2.61, 4 Cd 2.87, 1 Ir 2.90
Ir: 0.5000 0.5000 0.7180  4 Ga 2.61, 4 Cd 2.87, 1 Ir 2.90